Computed, not measured: crystalline Co2AgTe at its relaxed geometry at the PBE level of DFT.

Summary:
Electronic total energy ... -4.75 eV per atom
Calculated volume ... 80.1 Å³/cell
Energy relative to the elements, uncorrected ... 1.19 eV/f.u.

Cell: 3.9731 3.9731 5.8578 Å, 89.96 89.96 59.99°
Each line ends with the local moment (μB).
Sites, in units of the cell vectors:
1 Co 0.0416 0.0416 0.8701  1.44
2 Ag 0.3750 0.3750 0.1529  -0.03
3 Te 0.3751 0.3751 0.6296  0.00
4 Co 0.7083 0.7083 0.8474  1.33